The following is a DFT calculation (PBE) of a relaxed structure of VCl3.

Geometry as CIF:
```
data_VCl3
_chemical_formula_sum 'V6 Cl18'
_cell_length_a 6.1790
_cell_length_b 6.1790
_cell_length_c 18.9920
_cell_angle_alpha 90.00
_cell_angle_beta 90.00
_cell_angle_gamma 120.00
_symmetry_space_group_name_H-M 'R -3'
_symmetry_Int_Tables_number 148
_symmetry_space_group_name_Hall '-R 3'
loop_
_atom_site_label
_atom_site_type_symbol
_atom_site_fract_x
_atom_site_fract_y
_atom_site_fract_z
V1 V 0.0000 0.0000 0.1666
Cl1 Cl 0.0001 0.3686 0.4285
```

## Properties
Total magnetic moment ... 12.00 μB/cell
Raw formation energy ... -4.94 eV/f.u.
Volume ... 628.0 Å³ per cell


The following is a DFT calculation (PBE) of a relaxed structure of FeSeBrN2.

Geometry as CIF:
```
data_FeSeBrN2
_chemical_formula_sum 'Fe1 Se1 Br1 N2'
_cell_length_a 3.698
_cell_length_b 3.698
_cell_length_c 7.200
_cell_angle_alpha 90.00
_cell_angle_beta 90.00
_cell_angle_gamma 90.00
_symmetry_space_group_name_H-M 'P 4/m m m'
_symmetry_Int_Tables_number 123
_symmetry_space_group_name_Hall '-P 4 2'
loop_
_atom_site_label
_atom_site_type_symbol
_atom_site_fract_x
_atom_site_fract_y
_atom_site_fract_z
Fe1 Fe 0.000 0.000 0.000
Se1 Se 0.500 0.500 0.000
Br1 Br 0.500 0.500 0.500
N1 N 0.000 0.500 0.500
```

## Properties
Total magnetic moment ... 0.88 μB/cell
Raw formation energy ... 12.03 eV/f.u.
Excess energy over the best structure of this formula in the dataset ... 1444 meV/atom
Volume ... 98.5 Å³ per cell


The following is a DFT calculation (PBE) of a relaxed structure of SbPPb2.

Geometry as CIF:
```
data_SbPPb2
_chemical_formula_sum 'Sb1 P1 Pb2'
_cell_length_a 3.544
_cell_length_b 3.544
_cell_length_c 8.577
_cell_angle_alpha 90.00
_cell_angle_beta 90.00
_cell_angle_gamma 90.00
_symmetry_space_group_name_H-M 'P 4/m m m'
_symmetry_Int_Tables_number 123
_symmetry_space_group_name_Hall '-P 4 2'
loop_
_atom_site_label
_atom_site_type_symbol
_atom_site_fract_x
_atom_site_fract_y
_atom_site_fract_z
Sb1 Sb 0.000 0.000 0.000
P1 P 0.000 0.000 0.500
Pb1 Pb 0.500 0.500 0.295
```

## Properties
Total magnetic moment ... 0.00 μB/cell
Raw formation energy ... 0.88 eV/f.u.
Excess energy over the best structure of this formula in the dataset ... 103 meV/atom
Volume ... 107.7 Å³ per cell


The following is a DFT calculation (PBE) of a relaxed structure of Y2Ho5ThSc.

Geometry as CIF:
```
data_Y2Ho5ThSc
_chemical_formula_sum 'Y8 Ho20 Th4 Sc4'
_cell_length_a 5.632
_cell_length_b 21.676
_cell_length_c 9.414
_cell_angle_alpha 90.00
_cell_angle_beta 90.00
_cell_angle_gamma 90.00
_symmetry_space_group_name_H-M 'C m c 21'
_symmetry_Int_Tables_number 36
loop_
_symmetry_equiv_pos_as_xyz
'x,y,z'
'-x,-y,z+1/2'
'-x,y,z'
'x,-y,z+1/2'
'x+1/2,y+1/2,z'
'-x+1/2,-y+1/2,z+1/2'
'-x+1/2,y+1/2,z'
'x+1/2,-y+1/2,z+1/2'
loop_
_atom_site_label
_atom_site_type_symbol
_atom_site_fract_x
_atom_site_fract_y
_atom_site_fract_z
Y1 Y 0.000 0.115 0.000
Y2 Y 0.000 0.133 0.390
Ho1 Ho 0.000 0.013 0.694
Ho2 Ho 0.000 0.269 0.006
Ho3 Ho 0.000 0.303 0.399
Ho4 Ho 0.000 0.396 0.725
Ho5 Ho 0.000 0.471 0.428
Th1 Th 0.000 0.401 0.109
Sc1 Sc 0.000 0.191 0.695
```

## Properties
Total magnetic moment ... 0.00 μB/cell
Energy relative to the elements ... 0.173 eV per atom
Volume ... 1149.4 Å³ per cell